#P
Material: Ho8CoRu2
Method: DFT, GGA-PBE
State: optimized geometry

CIF file:
```
data_Ho8CoRu2
_chemical_formula_sum 'Ho16 Co2 Ru4'
_symmetry_space_group_name_H-M 'C 1 2/m 1'
_symmetry_Int_Tables_number 12
_symmetry_space_group_name_Hall '-C 2y'
_cell_length_a 17.238
_cell_length_b 4.811
_cell_length_c 6.773
_cell_angle_alpha 90.00
_cell_angle_beta 107.24
_cell_angle_gamma 90.00
loop_
_atom_site_label
_atom_site_fract_x
_atom_site_fract_y
_atom_site_fract_z
_atom_site_occupancy
Ho1 0.030 0.000 0.294 1
Ho2 0.095 0.500 0.950 1
Ho3 0.166 0.500 0.464 1
Ho4 0.205 0.000 0.813 1
Co1 0.000 0.500 0.500 1
Ru1 0.185 0.000 0.201 1
```

---

#Q
Material: Ho8CoRu2
Method: DFT, GGA-PBE
State: optimized geometry

CIF file:
```
data_Ho8CoRu2
_chemical_formula_sum 'Ho16 Co2 Ru4'
_symmetry_space_group_name_H-M 'C 1 m 1'
_symmetry_Int_Tables_number 8
_symmetry_space_group_name_Hall 'C -2y'
_cell_length_a 8.221
_cell_length_b 12.469
_cell_length_c 5.927
_cell_angle_alpha 90.00
_cell_angle_beta 110.82
_cell_angle_gamma 90.00
loop_
_atom_site_label
_atom_site_fract_x
_atom_site_fract_y
_atom_site_fract_z
_atom_site_occupancy
Ho1 0.000 0.000 0.000 1
Ho2 0.074 0.369 0.788 1
Ho3 0.153 0.129 0.584 1
Ho4 0.212 0.500 0.380 1
Ho5 0.357 0.205 0.197 1
Co1 0.350 0.000 0.357 1
Ru1 0.361 0.310 0.676 1
```

---

Pick #P: it beats the second-best structure by 4.7 kJ/mol of atoms.